## SrRe2Tc (PBE-GGA)

Data for a relaxed SrRe2Tc crystal.

Properties
Total moment ... 0.0 μB/cell
Energy of formation ... 0.716 eV/atom
Offset from the most stable computed form ... 0.066 eV/atom

Unit cell a=3.7999 b=2.8438 c=7.9329 alpha=69.07 beta=90.00 gamma=90.00
Closest atoms and distances in Å follow each position.
Atoms (fractional coordinates):
Re1 0.0000 0.0802 0.9185  1 Re 2.50, 4 Tc 2.68
Re2 0.0000 0.4198 0.5815  1 Re 2.50, 4 Tc 2.68
Sr1 0.5000 0.2500 0.2500  2 Sr 2.84
Tc1 0.5000 0.7500 0.7500  8 Re 2.68, 2 Tc 2.84

## BPdNO2 (PBE-GGA)

Data for a relaxed BPdNO2 crystal.

Properties
E_form (uncorrected) ... 0.44 eV per atom
Total moment ... 1.2 μB/cell

Unit cell a=3.3513 b=3.3513 c=3.5986 alpha=90.00 beta=90.00 gamma=90.00
Closest atoms and distances in Å follow each position.
Atoms (fractional coordinates):
B1 0.0000 0.0000 0.0000  4 O 1.68, 2 N 1.80
O1 0.0000 0.5000 0.0000  2 B 1.68
O2 0.5000 0.0000 0.0000  2 B 1.68
Pd1 0.5000 0.5000 0.5000  4 N 2.37, 8 O 2.46
N1 0.0000 0.0000 0.5000  2 B 1.80